Entry 1:
# TcBiH2

An optimized crystal structure of TcBiH2 (PBE, Alexandria).

Geometry as POSCAR:
```
TcBiH2
1.0
-1.960 -3.341 -1.342
-2.313 -2.194 2.578
-4.082 0.031 -0.376
Bi H Tc
1 2 1
Direct
0.500 0.500 0.500
0.250 0.250 0.250
0.750 0.750 0.750
0.000 0.000 0.000
```

Computed properties:
Its energy above the most stable polymorph in this dataset is 2.78 eV/f.u.



Entry 2:
# Tc2BiH2

An optimized crystal structure of Tc2BiH2 (PBE, Alexandria).

Geometry as POSCAR:
```
Tc2BiH2
1.0
-3.011 0.681 1.005
-0.967 -2.970 -0.884
-0.648 -3.191 5.466
H Tc Bi
2 2 1
Direct
0.250 0.750 0.500
0.750 0.250 0.500
0.678 0.678 0.645
0.322 0.322 0.355
0.000 0.000 0.000
```

Computed properties:
The total energy comes out at -29.62 eV per cell.



Entry 3:
# TcBi3H

An optimized crystal structure of TcBi3H (PBE, Alexandria).

Geometry as POSCAR:
```
TcBi3H
1.0
-2.030 2.346 -3.672
1.110 -3.638 -2.939
-4.213 -2.089 0.995
Bi H Tc
3 1 1
Direct
0.000 0.500 0.000
0.000 0.000 0.500
0.500 0.000 0.000
0.000 0.000 0.000
0.500 0.500 0.500
```

Computed properties:
Its energy above the most stable polymorph in this dataset is 0.00 eV/f.u.



Entry 4:
# TcBiH3

An optimized crystal structure of TcBiH3 (PBE, Alexandria).

Geometry as POSCAR:
```
TcBiH3
1.0
4.147 0.000 0.000
0.000 4.147 0.000
0.000 0.000 4.147
Bi H Tc
1 3 1
Direct
0.000 0.000 0.000
0.000 0.000 0.500
0.000 0.500 0.000
0.500 0.000 0.000
0.500 0.500 0.500
```

Computed properties:
Its energy above the most stable polymorph in this dataset is 5.35 eV/f.u.



Entry 5:
# TcBiH2

An optimized crystal structure of TcBiH2 (PBE, Alexandria).

Geometry as POSCAR:
```
TcBiH2
1.0
4.417 0.000 0.000
0.000 4.417 0.000
2.208 2.208 5.303
H Tc Bi
4 2 2
Direct
0.379 0.625 0.250
0.371 0.125 0.250
0.875 0.621 0.750
0.375 0.629 0.750
0.250 0.750 0.500
0.500 0.500 0.000
0.000 0.000 0.000
0.750 0.250 0.500
```

Computed properties:
Its energy above the most stable polymorph in this dataset is 0.00 eV/f.u.



Entry 6:
# Tc3BiH

An optimized crystal structure of Tc3BiH (PBE, Alexandria).

Geometry as POSCAR:
```
Tc3BiH
1.0
4.134 0.000 0.000
0.000 4.134 0.000
0.000 0.000 4.134
Tc Bi H
3 1 1
Direct
0.500 0.000 0.000
0.000 0.000 0.500
0.000 0.500 0.000
0.500 0.500 0.500
0.000 0.000 0.000
```

Computed properties:
Its energy above the most stable polymorph in this dataset is 0.00 eV/f.u.



Entry 7:
# TcBiH3

An optimized crystal structure of TcBiH3 (PBE, Alexandria).

Geometry as POSCAR:
```
TcBiH3
1.0
3.724 0.000 0.000
0.000 3.724 0.000
0.000 0.000 3.724
H Tc Bi
3 1 1
Direct
0.500 0.000 0.000
0.000 0.000 0.500
0.000 0.500 0.000
0.000 0.000 0.000
0.500 0.500 0.500
```

Computed properties:
Its energy above the most stable polymorph in this dataset is 0.00 eV/f.u.



Entry 8:
# TcBiH

An optimized crystal structure of TcBiH (PBE, Alexandria).

Geometry as POSCAR:
```
TcBiH
1.0
3.845 3.173 -2.753
3.467 6.204 -3.180
-5.620 -7.780 13.256
H Bi Tc
2 2 2
Direct
0.242 0.167 0.834
0.804 0.817 0.599
0.081 0.648 0.415
0.965 0.336 0.018
0.755 0.480 0.709
0.291 0.504 0.724
```

Computed properties:
The total energy comes out at -33.98 eV per cell.



Entry 9:
# TcBi3H

An optimized crystal structure of TcBi3H (PBE, Alexandria).

Geometry as POSCAR:
```
TcBi3H
1.0
5.311 0.000 0.000
0.000 5.311 0.000
0.000 0.000 5.311
Bi H Tc
3 1 1
Direct
0.500 0.000 0.000
0.000 0.000 0.500
0.000 0.500 0.000
0.500 0.500 0.500
0.000 0.000 0.000
```

Computed properties:
Its energy above the most stable polymorph in this dataset is 0.35 eV/f.u.



Entry 10:
# Tc2BiHW

An optimized crystal structure of Tc2BiHW (PBE, Alexandria).

Geometry as POSCAR:
```
Tc2BiHW
1.0
5.047 0.000 0.000
0.000 3.357 0.000
0.000 0.000 5.047
W Bi Tc H
1 1 2 1
Direct
0.500 0.500 0.500
0.000 0.000 0.000
0.000 0.000 0.500
0.500 0.000 0.000
0.000 0.500 0.000
```

Computed properties:
The total energy comes out at -31.89 eV per cell.



Entry 11:
# YTcBi2H

An optimized crystal structure of YTcBi2H (PBE, Alexandria).

Geometry as POSCAR:
```
YTcBi2H
1.0
5.541 0.000 0.000
0.000 3.582 0.000
0.000 0.000 5.541
Y H Bi Tc
1 1 2 1
Direct
0.500 0.500 0.500
0.000 0.500 0.000
0.000 0.000 0.500
0.500 0.000 0.000
0.000 0.000 0.000
```

Computed properties:
The total energy comes out at -27.21 eV per cell.



Entry 12:
# BiTe2H

An optimized crystal structure of BiTe2H (PBE, Alexandria).

Geometry as POSCAR:
```
BiTe2H
1.0
2.512 0.000 6.194
-1.256 2.175 6.194
-1.256 -2.175 6.194
H Bi Te
1 1 2
Direct
0.500 0.500 0.500
0.000 0.000 0.000
0.232 0.232 0.232
0.768 0.768 0.768
```

Computed properties:
Its energy above the most stable polymorph in this dataset is 1.65 eV/f.u.



For reference, V by record: 12.18 12.51 22.22 14.27 12.93 14.13 10.33 18.38 29.96 17.10 21.99 25.38 Å³/atom.
For reference, density by record: 10.5 10.8 10.9 7.2 9.9 11.8 10.0 9.3 8.0 11.5 9.1 7.6 g/cm³.